Material: Tl2CdSn
Method: DFT, PBE
State: optimized geometry

Structure (CIF):
```
data_Tl2CdSn
_chemical_formula_sum 'Tl2 Cd1 Sn1'
_cell_length_a 3.684
_cell_length_b 5.496
_cell_length_c 6.286
_cell_angle_alpha 110.84
_cell_angle_beta 105.95
_cell_angle_gamma 90.49
_space_group_name_H-M_alt 'P 1'
_space_group_IT_number 1
loop_
_space_group_symop_operation_xyz
'x,y,z'
loop_
_atom_site_label
_atom_site_type_symbol
_atom_site_fract_x
_atom_site_fract_y
_atom_site_fract_z
_atom_site_occupancy
Tl1 Tl 0.000 0.000 0.000 1
Tl2 Tl 0.231 0.728 0.459 1
Cd1 Cd 0.747 0.241 0.491 1
Sn1 Sn 0.469 0.472 0.943 1
```

Results
Energy above the most stable polymorph in this dataset, meV per atom: 30
Crystal system: triclinic
Energy, Ry per atom: -0.1734
Calculated formation energy, eV/atom: 0.0531